The following is a GGA+U calculation of a relaxed LiHgW2O8 crystal, from Alexandria.

The structure in extended XYZ format:
```
12
Lattice="-3.582 3.582 3.599 3.582 -3.582 3.599 3.582 3.582 -3.599" Properties=species:S:1:pos:R:3 pbc="T T T"
Li 0.000 0.000 0.000
Hg 3.582 0.000 1.799
W 0.000 0.000 3.599
W 0.000 3.582 1.799
O 2.127 3.582 -1.076
O 1.455 0.000 2.523
O 0.000 2.084 0.756
O 3.582 2.127 1.076
O 0.000 5.079 0.756
O 0.000 1.455 4.675
O -1.498 3.582 2.842
O 1.498 3.582 2.842
```

## Properties
DFT total energy: -72.91 eV per cell
Calculated volume: 184.7 Å³ per cell
M_tot: 1.1 μB/cell
Fermi-level density of states: 0.881 states/eV/atom